[1]
Compound: MgZnS2Cl
Source: Alexandria via LeMat-Bulk
Functional: PBE
Structure: optimized geometry

- Offset from the most stable computed form: 227 meV per atom
- Density of states at the Fermi level: 0.61 states/eV per atom
- Size of the total moment: 0.00 μB/f.u.
- ρ: 2.634 g/cm³
- Raw formation energy: 0.0034 eV per atom

a b c (Å): 4.4334 4.4334 6.0724
angles (deg): 90.00 90.00 90.00
Last column: nearest neighbours and their distance in Å.
Space group P4/mmm (No. 123)
One atom of each set of equivalent atoms:
Mg1 0.0000 0.0000 0.0000  2 Zn 3.04, 4 Cl 3.13
Zn1 0.0000 0.0000 0.5000  4 S 2.22
S1 0.0000 0.5000 0.5000  2 Zn 2.22
Cl1 0.5000 0.5000 0.0000  4 Mg 3.13



[2]
Compound: MgZnS2Cl
Source: Alexandria via LeMat-Bulk
Functional: PBE
Structure: optimized geometry

- Offset from the most stable computed form: 133 meV per atom
- Density of states at the Fermi level: 1.01 states/eV per atom
- Size of the total moment: 0.00 μB/f.u.
- ρ: 2.785 g/cm³
- Raw formation energy: -0.0913 eV per atom

a b c (Å): 4.8991 4.8991 4.7032
angles (deg): 90.00 90.00 90.00
Last column: nearest neighbours and their distance in Å.
Space group P4/mmm (No. 123)
One atom of each set of equivalent atoms:
Mg1 0.0000 0.0000 0.0000  2 Cl 2.35, 4 S 2.45
Zn1 0.5000 0.5000 0.5000  8 S 3.40, 4 Cl 3.46
S1 0.0000 0.5000 0.0000  2 Mg 2.45
Cl1 0.0000 0.0000 0.5000  2 Mg 2.35



[3]
Compound: MgZrS2Cl
Source: Alexandria via LeMat-Bulk
Functional: PBE
Structure: optimized geometry

- Offset from the most stable computed form: 0 meV per atom
- Density of states at the Fermi level: 0.48 states/eV per atom
- Size of the total moment: 0.27 μB/f.u.
- ρ: 2.844 g/cm³
- Raw formation energy: -0.9168 eV per atom

a b c (Å): 5.0155 5.0155 4.9934
angles (deg): 90.00 90.00 90.00
Last column: nearest neighbours and their distance in Å.
Space group P4/mmm (No. 123)
One atom of each set of equivalent atoms:
Mg1 0.0000 0.0000 0.0000  8 S 3.54, 4 Cl 3.55
Zr1 0.5000 0.5000 0.5000  2 Cl 2.50, 4 S 2.51
S1 0.0000 0.5000 0.5000  2 Zr 2.51
Cl1 0.5000 0.5000 0.0000  2 Zr 2.50



[4]
Compound: MgZrS2Cl
Source: Alexandria via LeMat-Bulk
Functional: PBE
Structure: optimized geometry

- Offset from the most stable computed form: 382 meV per atom
- Density of states at the Fermi level: 0.71 states/eV per atom
- Size of the total moment: 1.00 μB/f.u.
- ρ: 3.439 g/cm³
- Raw formation energy: -0.5350 eV per atom

a b c (Å): 4.8204 4.8204 4.4698
angles (deg): 90.00 90.00 90.00
Last column: nearest neighbours and their distance in Å.
Space group P4/mmm (No. 123)
One atom of each set of equivalent atoms:
Mg1 0.0000 0.0000 0.0000  2 Cl 2.23, 4 S 2.41
Zr1 0.5000 0.5000 0.5000  8 S 3.29, 4 Cl 3.41
S1 0.0000 0.5000 0.0000  2 Mg 2.41
Cl1 0.0000 0.0000 0.5000  2 Mg 2.23



[5]
Compound: MgSb3Cl
Source: Alexandria via LeMat-Bulk
Functional: PBE
Structure: optimized geometry

- Offset from the most stable computed form: 0 meV per atom
- Density of states at the Fermi level: 0.93 states/eV per atom
- Size of the total moment: 0.00 μB/f.u.
- ρ: 4.543 g/cm³
- Raw formation energy: 0.4508 eV per atom

a b c (Å): 5.3757 5.3757 5.3757
angles (deg): 90.00 90.00 90.00
Last column: nearest neighbours and their distance in Å.
Space group Pm-3m (No. 221)
One atom of each set of equivalent atoms:
Mg1 0.0000 0.0000 0.0000  6 Sb 2.69
Sb1 0.0000 0.0000 0.5000  2 Mg 2.69
Cl1 0.5000 0.5000 0.5000  12 Sb 3.80



[6]
Compound: MgSbCl6
Source: Alexandria via LeMat-Bulk
Functional: PBE
Structure: optimized geometry

- Offset from the most stable computed form: 0 meV per atom
- Density of states at the Fermi level: 0.62 states/eV per atom
- Size of the total moment: 0.00 μB/f.u.
- ρ: 1.965 g/cm³
- Raw formation energy: -1.0807 eV per atom

a b c (Å): 12.6860 12.6860 6.5264
angles (deg): 90.00 90.00 120.00
Last column: nearest neighbours and their distance in Å.
Space group R-3m (No. 166, hexagonal axes)
One atom of each set of equivalent atoms:
Mg1 0.0000 0.0000 0.0000  6 Cl 2.55
Sb1 0.0000 0.0000 0.5000  6 Cl 2.55
Cl1 0.0891 0.1783 0.7502  1 Mg 2.55, 1 Sb 2.55